Crystalline TlRhSeS2 at its relaxed geometry, computed with PBEsol.

raw formation energy: 24 kJ per mole of atoms
total magnetization: 0.0 Bohr magnetons per cell

Cell and atoms, written as POSCAR:
```
TlRhSeS2
1.0
-0.383 -1.374 4.166
0.177 -4.183 -1.364
5.657 0.063 0.540
Tl Rh S Se
1 1 2 1
Direct
0.000 0.000 0.500
0.000 0.000 0.000
0.000 0.500 0.000
0.500 0.000 0.000
0.500 0.500 0.500
```